# Na2PmPr3Se6 (PBE-GGA, relaxed)
# **Energy**: -5.288 eV per atom
# **Energy relative to the elements, uncorrected**: -20.82 eV/f.u.
# **Size of the total moment**: 0.00 μB/atom
data_Na2PmPr3Se6
_cell_length_a 7.3624
_cell_length_b 12.7432
_cell_length_c 7.3738
_cell_angle_alpha 90.00
_cell_angle_beta 109.37
_cell_angle_gamma 90.00
_symmetry_space_group_name_H-M 'C 1 2/m 1'
_symmetry_Int_Tables_number 12
loop_
_symmetry_equiv_pos_as_xyz
'x,y,z'
'-x,-y,-z'
'-x,y,-z'
'x,-y,z'
'x+1/2,y+1/2,z'
'-x+1/2,-y+1/2,-z'
'-x+1/2,y+1/2,-z'
'x+1/2,-y+1/2,z'
loop_
_atom_site_label
_atom_site_type_symbol
_atom_site_fract_x
_atom_site_fract_y
_atom_site_fract_z
Na1 Na 0.0000 0.1660 0.0000
Pm1 Pm 0.0000 0.5000 0.0000
Pr1 Pr 0.0000 0.0000 0.5000
Pr2 Pr 0.0000 0.3309 0.5000
Se1 Se 0.2463 0.5000 0.7499
Se2 Se 0.2473 0.3348 0.2460